A plane-wave DFT calculation with PBE was carried out for an optimized crystal structure of LaGdZrSc.

Formation enthalpy at 0 K = 0.172 eV/atom

a = 7.6882 Å, b = 7.6882 Å, c = 7.6882 Å
α = 90.00°, β = 90.00°, γ = 90.00°
Space group F-43m (No. 216)
Inequivalent atoms, fractional coordinates:
La  0.0000  0.0000  0.0000 x4
Gd  0.0000  0.0000  0.5000 x4
Zr  0.2500  0.2500  0.7500 x4
Sc  0.2500  0.2500  0.2500 x4